Crystalline NdCr2TeO8 at its relaxed geometry. Source: Alexandria via LeMat-Bulk, functional PBE with a Hubbard U.

Properties
E	-6.934	eV/atom
total magnetic moment	6.198	μB per formula unit
SG	Cmmm, No. 65
density	5.7	Mg/m³

Cell: 4.6694 4.6694 6.7730 Å, 90.00 90.00 90.44°
Closest atoms and distances in Å follow each position.
Positions (direct):
Nd: 0.0000 0.0000 0.0000  6 O 2.26-2.34
Cr: 0.5000 0.5000 0.2699  6 O 2.00-2.11
Cr: 0.5000 0.5000 0.7301  6 O 2.00-2.11
Te: 0.0000 0.0000 0.5000  6 O 1.94-2.00
O: 0.1969 0.1969 0.2875  1 Te 1.94, 1 Cr 2.00
O: 0.1969 0.1969 0.7125  1 Te 1.94, 1 Cr 2.00
O: 0.3013 0.6987 0.5000  1 Te 2.00, 2 Cr 2.04
O: 0.3413 0.6587 0.0000  1 O 2.10, 2 Cr 2.11, 1 Nd 2.26
O: 0.6587 0.3413 0.0000  1 O 2.10, 2 Cr 2.11, 1 Nd 2.26
O: 0.6987 0.3013 0.5000  1 Te 2.00, 2 Cr 2.04
O: 0.8031 0.8031 0.2875  1 Te 1.94, 1 Cr 2.00
O: 0.8031 0.8031 0.7125  1 Te 1.94, 1 Cr 2.00